A plane-wave DFT calculation with PBE-GGA was carried out for a relaxed structure of LiPrAlAg3.

Cell: 6.3542 12.6731 6.1195 Å, 90.00 90.00 90.00°
Closest atoms and distances in Å follow each position.
Space group Cmcm (No. 63)
Symmetry-distinct sites (fractional):
Li 0.0000 0.0667 0.2500  5 Ag 2.50-2.75
Pr 0.0000 0.2940 0.2500  1 Li 2.88, 2 Al 3.17
Al 0.0000 0.3597 0.7500  5 Ag 2.66-2.73
Ag 0.0000 0.1502 0.7500  1 Al 2.66, 1 Li 2.75
Ag 0.2191 0.5000 0.0000  2 Li 2.50, 2 Al 2.73, 1 Ag 2.78

Results
N(E_F) (states/eV per atom): 0.4714
Magnetization (μB per cell): 0.00
Energy of formation from the pure elements (eV per atom): -0.13

---

A plane-wave DFT calculation with PBE-GGA was carried out for a relaxed structure of Ac4Rh2Au.

Cell: 9.5948 9.5948 9.2811 Å, 90.00 90.00 90.00°
Closest atoms and distances in Å follow each position.
Space group I-42d (No. 122)
Symmetry-distinct sites (fractional):
Ac 0.0593 0.1877 0.3267  2 Rh 2.93-3.04, 1 Au 3.13
Rh 0.1357 0.2500 0.6250  4 Ac 2.93-3.04
Au 0.0000 0.0000 0.0000  4 Ac 3.13

Results
N(E_F) (states/eV per atom): 0.7054
Magnetization (μB per cell): 0.00
Energy of formation from the pure elements (eV per atom): -0.66
ΔE to the lowest computed polymorph (meV/atom): 36

---

A plane-wave DFT calculation with PBE-GGA was carried out for a relaxed structure of Ac2Sm6Er.

Cell: 15.5899 10.1022 9.2506 Å, 90.00 117.99 90.00°
Closest atoms and distances in Å follow each position.
Space group C2/c (No. 15)
Symmetry-distinct sites (fractional):
Ac 0.0950 0.0730 0.1830  6 Sm 3.43-3.79, 2 Ac 3.60-3.71
Sm 0.0817 0.4163 0.1611  4 Sm 3.31-3.62, 1 Ac 3.47
Sm 0.1643 0.2588 0.5785  1 Er 3.59, 9 Sm 3.59-4.01, 3 Ac 3.75-3.79
Sm 0.2365 0.4087 0.9788  3 Sm 3.23-3.53, 2 Ac 3.43-3.59, 1 Er 3.60
Er 0.0000 0.2620 0.7500  8 Sm 3.59-3.74, 2 Ac 3.86

Results
N(E_F) (states/eV per atom): 1.5288
Magnetization (μB per cell): 0.00
Energy of formation from the pure elements (eV per atom): 0.10

---

A plane-wave DFT calculation with PBE-GGA was carried out for a relaxed structure of La2TlSi.

Cell: 4.5782 4.5782 10.6622 Å, 90.00 90.00 90.00°
Closest atoms and distances in Å follow each position.
Space group I-4m2 (No. 119)
Symmetry-distinct sites (fractional):
La 0.0000 0.0000 0.0000  4 Tl 3.24, 4 Si 3.51, 4 La 3.51
La 0.0000 0.5000 0.2500  4 Si 3.24, 4 Tl 3.51, 4 La 3.51
Tl 0.0000 0.0000 0.5000  8 La 3.24-3.51, 4 Si 3.51
Si 0.0000 0.5000 0.7500  8 La 3.24-3.51, 4 Tl 3.51

Results
N(E_F) (states/eV per atom): 0.5994
Energy relative to the elements, uncorrected (eV/atom): -0.363
Magnetization (μB per cell): 0.00

---

A plane-wave DFT calculation with PBE-GGA was carried out for a relaxed structure of TbSm2Cu.

Cell: 6.9493 9.8998 6.5406 Å, 90.00 90.00 90.00°
Closest atoms and distances in Å follow each position.
Space group Pnma (No. 62)
Symmetry-distinct sites (fractional):
Tb 0.0224 0.2500 0.1373  2 Cu 2.85-2.91
Sm 0.1932 0.0594 0.6808  2 Cu 2.90-2.94
Cu 0.0992 0.7500 0.4468  2 Tb 2.85-2.91, 4 Sm 2.90-2.94

Results
N(E_F) (states/eV per atom): 1.1315
Magnetization (μB per cell): 0.00
Energy of formation from the pure elements (eV per atom): -0.08
ΔE to the lowest computed polymorph (meV/atom): 0

---

A plane-wave DFT calculation with PBE-GGA was carried out for a relaxed structure of KSb2Ru.

Cell: 4.3182 6.3989 8.3239 Å, 90.00 90.00 90.00°
Closest atoms and distances in Å follow each position.
Space group Immm (No. 71)
Symmetry-distinct sites (fractional):
K 0.0000 0.0000 0.0000  8 Sb 3.44-3.53
Sb 0.0000 0.5000 0.1789  2 Ru 2.62
Ru 0.0000 0.0000 0.5000  4 Sb 2.62

Results
N(E_F) (states/eV per atom): 0.6298
Energy relative to the elements, uncorrected (eV/atom): 0.218
Magnetization (μB per cell): 0.00
ΔE to the lowest computed polymorph (meV/atom): 370

---

A plane-wave DFT calculation with PBE-GGA was carried out for a relaxed structure of DyPu3Th2As6.

Cell: 18.1981 4.2019 8.3420 Å, 90.00 102.79 90.00°
Closest atoms and distances in Å follow each position.
Space group C2/m (No. 12)
Symmetry-distinct sites (fractional):
Dy 0.0000 0.0000 0.0000  6 As 2.95-2.96
Pu 0.0000 0.0000 0.5000  6 As 2.94-2.96
Pu 0.1669 0.5000 0.8341  6 As 2.92-2.96
Th 0.1650 0.5000 0.3303  6 As 2.97-3.01
As 0.0025 0.5000 0.7511  3 Pu 2.92-2.96, 2 Dy 2.96, 1 Th 2.97
As 0.1661 0.0000 0.0774  3 Pu 2.92-2.96, 1 Dy 2.95, 2 Th 2.98
As 0.1657 0.0000 0.5871  3 Pu 2.94, 3 Th 3.00-3.01

Results
N(E_F) (states/eV per atom): 2.6175
Magnetization (μB per cell): 32.09
Energy of formation from the pure elements (eV per atom): -1.26

---

A plane-wave DFT calculation with PBE-GGA was carried out for a relaxed structure of CdNi6Sb.

Cell: 7.4932 10.5311 10.5330 Å, 90.00 90.00 90.00°
Closest atoms and distances in Å follow each position.
Space group Cmmm (No. 65)
Symmetry-distinct sites (fractional):
Cd 0.0000 0.0000 0.2484  12 Ni 2.62-2.67
Cd 0.0000 0.2466 0.0000  12 Ni 2.60-2.67
Ni 0.0000 0.0000 0.0000  4 Cd 2.60-2.62, 8 Ni 2.67
Ni 0.0000 0.0000 0.5000  2 Sb 2.60, 8 Ni 2.65, 2 Cd 2.65
Ni 0.0000 0.2507 0.2533  2 Sb 2.60-2.63, 8 Ni 2.61-2.67, 2 Cd 2.64-2.67
Ni 0.0000 0.5000 0.0000  2 Sb 2.60, 8 Ni 2.63, 2 Cd 2.67
Ni 0.0000 0.5000 0.5000  8 Ni 2.61, 4 Sb 2.67
Ni 0.2466 0.3746 0.1267  1 Sb 2.60, 8 Ni 2.62-2.67, 3 Cd 2.64-2.65
Ni 0.2466 0.3755 0.3767  8 Ni 2.60-2.66, 3 Sb 2.64-2.65, 1 Cd 2.67
Sb 0.0000 0.2466 0.5000  12 Ni 2.60-2.67
Sb 0.0000 0.5000 0.2464  12 Ni 2.60-2.67

Results
N(E_F) (states/eV per atom): 1.1862
Energy relative to the elements, uncorrected (eV/atom): -0.021
Magnetization (μB per cell): 5.80

---

A plane-wave DFT calculation with PBE-GGA was carried out for a relaxed structure of NdSmHo6Er2.

Cell: 9.1255 14.9513 9.4729 Å, 90.00 96.53 90.00°
Closest atoms and distances in Å follow each position.
Space group C2/c (No. 15)
Symmetry-distinct sites (fractional):
Nd 0.0000 0.0295 0.2500  4 Er 3.36-3.44, 4 Ho 3.54-3.68
Sm 0.0000 0.4089 0.7500  6 Ho 3.42-3.50, 2 Er 3.53
Ho 0.0638 0.1828 0.9426  7 Ho 3.39-3.72, 1 Er 3.47, 1 Nd 3.68
Ho 0.0970 0.3896 0.1170  4 Ho 3.18-3.50, 3 Er 3.28-3.43, 2 Sm 3.42-3.50
Ho 0.2082 0.2274 0.3193  2 Ho 3.18-3.49, 2 Er 3.40-3.54, 1 Sm 3.47, 1 Nd 3.54
Er 0.2496 0.0519 0.5481  6 Ho 3.28-3.54, 2 Nd 3.36-3.44, 1 Sm 3.53

Results
N(E_F) (states/eV per atom): 1.4930
Magnetization (μB per cell): 0.00
Energy of formation from the pure elements (eV per atom): 0.12

---

A plane-wave DFT calculation with PBE-GGA was carried out for a relaxed structure of LiRuPt2Rh.

Cell: 4.8526 4.8526 4.6382 Å, 90.00 90.00 90.00°
Closest atoms and distances in Å follow each position.
Space group P4/mmm (No. 123)
Symmetry-distinct sites (fractional):
Li 0.0000 0.0000 0.0000  8 Pt 3.36, 4 Rh 3.43
Ru 0.5000 0.5000 0.5000  2 Rh 2.32, 4 Pt 2.43
Pt 0.0000 0.5000 0.5000  2 Ru 2.43
Rh 0.5000 0.5000 0.0000  2 Ru 2.32

Results
N(E_F) (states/eV per atom): 1.1416
Magnetization (μB per cell): 0.00
Energy of formation from the pure elements (eV per atom): 0.95

---

A plane-wave DFT calculation with PBE-GGA was carried out for a relaxed structure of Mg2Al3Ga2.

Cell: 4.3178 20.1041 2.9284 Å, 90.00 90.00 90.00°
Closest atoms and distances in Å follow each position.
Space group Cmmm (No. 65)
Symmetry-distinct sites (fractional):
Mg 0.0000 0.1489 0.0000  6 Ga 2.88-3.19, 2 Mg 2.93, 5 Al 2.99-3.06
Al 0.0000 0.0000 0.0000  10 Al 2.93-2.96, 2 Mg 2.99
Al 0.0000 0.4308 0.5000  7 Al 2.78-2.96, 1 Ga 2.83, 4 Mg 3.06
Ga 0.0000 0.2900 0.5000  4 Ga 2.69-2.93, 1 Al 2.83, 4 Mg 2.88

Results
N(E_F) (states/eV per atom): 0.3756
Magnetization (μB per cell): 0.00
Energy of formation from the pure elements (eV per atom): -0.04
ΔE to the lowest computed polymorph (meV/atom): 12

---

A plane-wave DFT calculation with PBE-GGA was carried out for a relaxed structure of TbNd5Al3.

Cell: 9.3053 9.3053 6.8451 Å, 90.00 90.00 120.00°
Closest atoms and distances in Å follow each position.
Space group P6_3/mcm (No. 193)
Symmetry-distinct sites (fractional):
Tb 0.0000 0.0000 0.0000  2 Tb 3.42, 6 Al 3.50, 6 Nd 3.56
Nd 0.0000 0.3352 0.2500  5 Al 3.08-3.42
Nd 0.3333 0.6667 0.0000  8 Nd 3.42-3.53, 6 Al 3.57
Al 0.0000 0.3277 0.7500  5 Nd 3.08-3.42

Results
N(E_F) (states/eV per atom): 1.2108
Magnetization (μB per cell): 0.00
Energy of formation from the pure elements (eV per atom): -0.23

---

A plane-wave DFT calculation with PBE-GGA was carried out for a relaxed structure of TlFeCoHg2.

Cell: 5.6071 5.6071 5.1376 Å, 90.00 90.00 90.00°
Closest atoms and distances in Å follow each position.
Space group P4/mmm (No. 123)
Symmetry-distinct sites (fractional):
Tl 0.0000 0.0000 0.0000  2 Fe 2.57, 4 Hg 2.80
Fe 0.0000 0.0000 0.5000  2 Tl 2.57
Co 0.5000 0.5000 0.5000  8 Hg 3.80, 4 Fe 3.96
Hg 0.0000 0.5000 0.0000  2 Tl 2.80

Results
N(E_F) (states/eV per atom): 1.5318
Magnetization (μB per cell): 5.65
Energy of formation from the pure elements (eV per atom): 1.52

---

A plane-wave DFT calculation with PBE-GGA was carried out for a relaxed structure of CsAs2IrSe.

Cell: 4.8355 4.8355 5.8012 Å, 90.00 90.00 90.00°
Closest atoms and distances in Å follow each position.
Space group P4/mmm (No. 123)
Symmetry-distinct sites (fractional):
Cs 0.0000 0.0000 0.0000  4 Se 3.42, 8 As 3.78
As 0.0000 0.5000 0.5000  2 Ir 2.42
Ir 0.5000 0.5000 0.5000  4 As 2.42
Se 0.5000 0.5000 0.0000  2 Ir 2.90

Results
N(E_F) (states/eV per atom): 1.1547
Energy relative to the elements, uncorrected (eV/atom): 0.124
Magnetization (μB per cell): 0.00
ΔE to the lowest computed polymorph (meV/atom): 0

---

A plane-wave DFT calculation with PBE-GGA was carried out for a relaxed structure of NaLaMn2Se.

Cell: 4.7856 4.7856 6.0875 Å, 90.00 90.00 90.00°
Closest atoms and distances in Å follow each position.
Space group P4/mmm (No. 123)
Symmetry-distinct sites (fractional):
Na 0.0000 0.0000 0.0000  4 Mn 2.39
La 0.0000 0.0000 0.5000  2 Na 3.04, 4 Se 3.38
Mn 0.0000 0.5000 0.0000  2 Na 2.39
Se 0.5000 0.5000 0.5000  4 La 3.38

Results
N(E_F) (states/eV per atom): 1.0187
Energy relative to the elements, uncorrected (eV/atom): 0.889
Magnetization (μB per cell): 8.05

---

A plane-wave DFT calculation with PBE-GGA was carried out for a relaxed structure of KSrCr2.

Cell: 3.7874 3.7874 33.8779 Å, 90.00 90.00 120.00°
Closest atoms and distances in Å follow each position.
Space group R-3m (No. 166, hexagonal axes)
Symmetry-distinct sites (fractional):
K 0.0000 0.0000 0.0000  6 Cr 3.71, 6 K 3.79
Sr 0.0000 0.0000 0.5000  6 Cr 3.44, 6 Sr 3.79
Cr 0.0000 0.0000 0.2449  3 Sr 3.44, 3 K 3.71, 6 Cr 3.79

Results
N(E_F) (states/eV per atom): 0.7253
Magnetization (μB per cell): 29.63
Energy of formation from the pure elements (eV per atom): 1.17
ΔE to the lowest computed polymorph (meV/atom): 487

---

A plane-wave DFT calculation with PBE-GGA was carried out for a relaxed structure of La3Ru4.

Cell: 3.7214 3.7214 24.0319 Å, 90.00 90.00 90.00°
Closest atoms and distances in Å follow each position.
Space group I4/mmm (No. 139)
Symmetry-distinct sites (fractional):
La 0.0000 0.0000 0.0000  2 Ru 2.61
La 0.0000 0.0000 0.3216  1 Ru 2.44
Ru 0.0000 0.0000 0.1085  1 La 2.61, 4 Ru 2.74
Ru 0.0000 0.0000 0.4230  1 La 2.44

Results
N(E_F) (states/eV per atom): 1.1527
Magnetization (μB per cell): 3.25
Energy of formation from the pure elements (eV per atom): 0.16
ΔE to the lowest computed polymorph (meV/atom): 0

---

A plane-wave DFT calculation with PBE-GGA was carried out for a relaxed structure of YSi2Pd.

Cell: 6.5774 6.5774 6.5774 Å, 90.00 90.00 90.00°
Closest atoms and distances in Å follow each position.
Space group Fm-3m (No. 225)
Symmetry-distinct sites (fractional):
Y 0.0000 0.0000 0.0000  8 Si 2.85
Si 0.2500 0.2500 0.2500  4 Pd 2.85, 4 Y 2.85
Pd 0.0000 0.0000 0.5000  8 Si 2.85

Results
N(E_F) (states/eV per atom): 0.7623
Energy relative to the elements, uncorrected (eV/atom): -0.304
Magnetization (μB per cell): 0.00

---

A plane-wave DFT calculation with PBE-GGA was carried out for a relaxed structure of Al3FeNi2.

Cell: 2.9200 2.9200 8.4179 Å, 90.00 90.00 90.00°
Closest atoms and distances in Å follow each position.
Space group P4/mmm (No. 123)
Symmetry-distinct sites (fractional):
Al 0.0000 0.0000 0.0000  8 Ni 2.48
Al 0.0000 0.0000 0.3392  4 Fe 2.47, 4 Ni 2.54, 1 Al 2.71
Fe 0.5000 0.5000 0.5000  8 Al 2.47
Ni 0.5000 0.5000 0.1641  8 Al 2.48-2.54, 1 Ni 2.76

Results
N(E_F) (states/eV per atom): 0.4194
Magnetization (μB per cell): 0.00
Energy of formation from the pure elements (eV per atom): -0.56

---

A plane-wave DFT calculation with PBE-GGA was carried out for a relaxed structure of Sr3TlCd.

Cell: 5.8475 22.2301 5.8416 Å, 90.00 90.00 90.00°
Closest atoms and distances in Å follow each position.
Space group Cmcm (No. 63)
Symmetry-distinct sites (fractional):
Sr 0.0000 0.0726 0.2500  2 Tl 3.47, 2 Cd 3.50
Sr 0.0000 0.2495 0.2500  4 Cd 3.55-3.56, 4 Tl 3.57-3.59, 2 Sr 3.93
Sr 0.0000 0.4265 0.2500  2 Tl 3.46, 2 Cd 3.49
Tl 0.0000 0.1568 0.7500  8 Sr 3.46-3.59
Cd 0.0000 0.3408 0.7500  8 Sr 3.49-3.56

Results
N(E_F) (states/eV per atom): 0.7693
Magnetization (μB per cell): 0.00
Energy of formation from the pure elements (eV per atom): -0.32
ΔE to the lowest computed polymorph (meV/atom): 0

---

A plane-wave DFT calculation with PBE-GGA was carried out for a relaxed structure of KTcOs2.

Cell: 5.8569 9.0784 2.5668 Å, 90.00 90.00 90.00°
Closest atoms and distances in Å follow each position.
Space group Cmmm (No. 65)
Symmetry-distinct sites (fractional):
K 0.0000 0.0000 0.0000  2 K 2.57
Tc 0.0000 0.5000 0.0000  2 Tc 2.57
Os 0.2500 0.2500 0.5000  2 Os 2.57

Results
N(E_F) (states/eV per atom): 1.4037
Magnetization (μB per cell): 3.09
Energy of formation from the pure elements (eV per atom): 1.52
ΔE to the lowest computed polymorph (meV/atom): 832

---

A plane-wave DFT calculation with PBE-GGA was carried out for a relaxed structure of Pu2InSi2Ir5.

Cell: 9.7516 9.7516 3.6303 Å, 90.00 90.00 90.00°
Closest atoms and distances in Å follow each position.
Space group P4/mbm (No. 127)
Symmetry-distinct sites (fractional):
Pu 0.1764 0.3236 0.0000  3 Si 2.78-2.96, 6 Ir 3.04-3.10
In 0.0000 0.0000 0.0000  8 Ir 2.86
Si 0.1221 0.6221 0.0000  6 Ir 2.46-2.48
Ir 0.0000 0.5000 0.5000  4 Si 2.48
Ir 0.0685 0.7833 0.5000  2 Si 2.46

Results
N(E_F) (states/eV per atom): 2.6404
Energy relative to the elements, uncorrected (eV/atom): -0.533
Magnetization (μB per cell): 20.10